<a>
A plane-wave DFT calculation with PBE was carried out for a relaxed LaAs3W crystal.

The structure in extended XYZ format:
```
5
Lattice="5.4905 0.0000 0.0000 0.0000 5.4905 0.0000 0.0000 0.0000 5.4905" Properties=species:S:1:pos:R:3 pbc="T T T"
La 0.0000 0.0000 0.0000
As 0.0000 0.0000 2.7453
As 0.0000 2.7453 0.0000
As 2.7453 0.0000 0.0000
W 2.7453 2.7453 2.7453
```

D(E_F): 1.48 states/eV/atom
crystal system: cubic
V: 165.5 Å³ per cell
density: 5.5 g cm⁻³

<b>
A plane-wave DFT calculation with PBE was carried out for a relaxed LaAs3W crystal.

The structure in extended XYZ format:
```
5
Lattice="4.9334 0.0000 0.0000 0.0000 4.9334 0.0000 0.0000 0.0000 4.9334" Properties=species:S:1:pos:R:3 pbc="T T T"
La 0.0000 0.0000 0.0000
As 0.0000 2.4667 2.4667
As 2.4667 0.0000 2.4667
As 2.4667 2.4667 0.0000
W 2.4667 2.4667 2.4667
```

D(E_F): 0.74 states/eV/atom
crystal system: cubic
V: 120.1 Å³ per cell
density: 7.6 g cm⁻³

Of them, <b> has the highest stability.

<a>
A plane-wave DFT calculation with PBE was carried out for a relaxed LaY2As2 crystal.

The structure in extended XYZ format:
```
5
Lattice="-2.2148 2.2148 6.7262 2.2148 -2.2148 6.7262 2.2148 2.2148 -6.7262" Properties=species:S:1:pos:R:3 pbc="T T T"
La 0.0000 0.0000 0.0000
Y 2.2148 0.0000 3.3631
Y 0.0000 2.2148 3.3631
As 0.0000 0.0000 5.2785
As 0.0000 0.0000 8.1738
```

D(E_F): 1.24 states/eV/atom
crystal system: tetragonal
V: 132.0 Å³ per cell
density: 5.9 g cm⁻³

<b>
A plane-wave DFT calculation with PBE was carried out for a relaxed LaY2As2 crystal.

The structure in extended XYZ format:
```
10
Lattice="8.0377 0.0000 0.0000 0.0000 8.0377 0.0000 0.0000 0.0000 3.9111" Properties=species:S:1:pos:R:3 pbc="T T T"
La 0.0000 0.0000 0.0000
La 4.0188 4.0188 0.0000
Y 1.2454 2.7735 1.9555
Y 2.7735 6.7923 1.9555
Y 5.2642 1.2454 1.9555
Y 6.7923 5.2642 1.9555
As 1.1641 5.1830 0.0000
As 2.8547 1.1641 0.0000
As 5.1830 6.8736 0.0000
As 6.8736 2.8547 0.0000
```

D(E_F): 0.89 states/eV/atom
crystal system: tetragonal
V: 252.7 Å³ per cell
density: 6.1 g cm⁻³

Of them, <b> has the highest stability.

<a>
A plane-wave DFT calculation with PBE was carried out for a relaxed LaYAs3 crystal.

The structure in extended XYZ format:
```
5
Lattice="5.4395 0.0000 0.0000 0.0000 5.4395 0.0000 0.0000 0.0000 5.4395" Properties=species:S:1:pos:R:3 pbc="T T T"
La 0.0000 0.0000 0.0000
Y 2.7197 2.7197 2.7197
As 0.0000 0.0000 2.7197
As 0.0000 2.7197 0.0000
As 2.7197 0.0000 0.0000
```

D(E_F): 0.81 states/eV/atom
crystal system: cubic
V: 160.9 Å³ per cell
density: 4.7 g cm⁻³

<b>
A plane-wave DFT calculation with PBE was carried out for a relaxed LaYAs3 crystal.

The structure in extended XYZ format:
```
5
Lattice="5.3105 0.0000 0.0000 0.0000 5.3105 0.0000 0.0000 0.0000 5.3105" Properties=species:S:1:pos:R:3 pbc="T T T"
La 0.0000 0.0000 0.0000
Y 2.6553 2.6553 2.6553
As 0.0000 2.6553 2.6553
As 2.6553 0.0000 2.6553
As 2.6553 2.6553 0.0000
```

D(E_F): 1.00 states/eV/atom
crystal system: cubic
V: 149.8 Å³ per cell
density: 5.0 g cm⁻³

Of them, <b> has the highest stability.